A plane-wave DFT calculation with PBE was carried out for ScHgPt2 after structural relaxation.

Lattice parameters (Å, degrees): 9.051 9.051 9.051 19.90 19.90 19.90
Fractional coordinates of all 4 atoms:
Sc  0.000  0.000  0.000
Hg  0.500  0.500  0.500
Pt  0.258  0.258  0.258
Pt  0.742  0.742  0.742

## Properties
Magnetization in μB/f.u.: 0.0
Theoretical density in kg/m³: 14053
Formation enthalpy at 0 K in eV per atom: -0.4714

=====

A plane-wave DFT calculation with PBE was carried out for Sc4HgPt5 after structural relaxation.

Lattice parameters (Å, degrees): 3.293 3.293 16.740 90.00 90.00 90.00
Fractional coordinates of all 10 atoms:
Sc  0.000  0.000  0.101
Sc  0.000  0.000  0.303
Sc  0.000  0.000  0.697
Sc  0.000  0.000  0.899
Hg  0.000  0.000  0.500
Pt  0.500  0.500  0.000
Pt  0.500  0.500  0.199
Pt  0.500  0.500  0.388
Pt  0.500  0.500  0.612
Pt  0.500  0.500  0.801

## Properties
Magnetization in μB/f.u.: 0.0
Theoretical density in kg/m³: 12400
Formation enthalpy at 0 K in eV per atom: -1.0454

=====

A plane-wave DFT calculation with PBE was carried out for ScHgPt2 after structural relaxation.

Lattice parameters (Å, degrees): 5.979 5.979 5.979 103.34 103.34 122.58
Fractional coordinates of all 8 atoms:
Sc  0.000  0.000  0.000
Sc  0.750  0.250  0.500
Hg  0.250  0.750  0.500
Hg  0.500  0.500  0.000
Pt  0.107  0.625  0.982
Pt  0.375  0.357  0.482
Pt  0.643  0.125  0.018
Pt  0.875  0.893  0.518

## Properties
Magnetization in μB/f.u.: 0.0
Theoretical density in kg/m³: 13362
Formation enthalpy at 0 K in eV per atom: -0.4022

=====

A plane-wave DFT calculation with PBE was carried out for Sc3Hg2Pt after structural relaxation.

Lattice parameters (Å, degrees): 7.718 7.718 6.995 90.00 90.00 143.76
Fractional coordinates of all 12 atoms:
Sc  0.000  0.000  0.244
Sc  0.000  0.000  0.756
Sc  0.327  0.673  0.224
Sc  0.327  0.673  0.776
Sc  0.673  0.327  0.224
Sc  0.673  0.327  0.776
Hg  0.169  0.831  0.500
Hg  0.500  0.500  0.000
Hg  0.500  0.500  0.500
Hg  0.831  0.169  0.500
Pt  0.148  0.852  0.000
Pt  0.852  0.148  0.000

## Properties
Magnetization in μB/f.u.: 0.0
Theoretical density in kg/m³: 9858
Formation enthalpy at 0 K in eV per atom: -0.7011

=====

A plane-wave DFT calculation with PBE was carried out for Sc2HgPt2 after structural relaxation.

Lattice parameters (Å, degrees): 6.245 6.245 6.245 137.63 137.63 61.47
Fractional coordinates of all 5 atoms:
Sc  0.250  0.750  0.500
Sc  0.750  0.250  0.500
Hg  0.000  0.000  0.000
Pt  0.380  0.380  0.000
Pt  0.620  0.620  0.000

## Properties
Magnetization in μB/f.u.: 0.0
Theoretical density in kg/m³: 10338
Formation enthalpy at 0 K in eV per atom: -0.7695

=====

A plane-wave DFT calculation with PBE was carried out for Sc5Hg2Pt2 after structural relaxation.

Lattice parameters (Å, degrees): 8.520 8.520 7.037 90.00 90.00 49.27
Fractional coordinates of all 18 atoms:
Sc  0.000  0.000  0.000
Sc  0.048  0.701  0.668
Sc  0.201  0.548  0.168
Sc  0.299  0.952  0.668
Sc  0.452  0.799  0.168
Sc  0.500  0.500  0.500
Sc  0.548  0.201  0.832
Sc  0.701  0.048  0.332
Sc  0.799  0.452  0.832
Sc  0.952  0.299  0.332
Hg  0.217  0.217  0.000
Hg  0.283  0.283  0.500
Hg  0.717  0.717  0.500
Hg  0.783  0.783  0.000
Pt  0.136  0.864  0.362
Pt  0.364  0.636  0.862
Pt  0.636  0.364  0.138
Pt  0.864  0.136  0.638

## Properties
Magnetization in μB/f.u.: 0.0
Theoretical density in kg/m³: 8718
Formation enthalpy at 0 K in eV per atom: -0.7508

=====

A plane-wave DFT calculation with PBE was carried out for Sc3HgPt after structural relaxation.

Lattice parameters (Å, degrees): 5.087 5.087 5.087 90.00 90.00 90.00
Fractional coordinates of all 5 atoms:
Sc  0.000  0.000  0.500
Sc  0.000  0.500  0.000
Sc  0.500  0.000  0.000
Hg  0.500  0.500  0.500
Pt  0.000  0.000  0.000

## Properties
Magnetization in μB/f.u.: 1.1
Theoretical density in kg/m³: 6693
Formation enthalpy at 0 K in eV per atom: -0.3220

=====

A plane-wave DFT calculation with PBE was carried out for ScHgPt2 after structural relaxation.

Lattice parameters (Å, degrees): 3.622 3.622 5.577 90.00 90.00 90.00
Fractional coordinates of all 4 atoms:
Sc  0.000  0.000  0.000
Hg  0.500  0.500  0.297
Pt  0.000  0.000  0.523
Pt  0.500  0.500  0.795

## Properties
Magnetization in μB/f.u.: 0.0
Theoretical density in kg/m³: 14429
Formation enthalpy at 0 K in eV per atom: -0.6123

=====

A plane-wave DFT calculation with PBE was carried out for ScHg2Pt after structural relaxation.

Lattice parameters (Å, degrees): 5.995 5.995 3.548 107.13 107.13 122.60
Fractional coordinates of all 4 atoms:
Sc  0.000  0.000  0.000
Hg  0.000  0.500  0.500
Hg  0.500  0.000  0.500
Pt  0.500  0.500  0.000

## Properties
Magnetization in μB/f.u.: 0.0
Theoretical density in kg/m³: 12548
Formation enthalpy at 0 K in eV per atom: -0.2381

=====

A plane-wave DFT calculation with PBE was carried out for ScHgPt3 after structural relaxation.

Lattice parameters (Å, degrees): 4.840 4.840 4.840 90.00 90.00 90.00
Fractional coordinates of all 5 atoms:
Sc  0.000  0.000  0.000
Hg  0.500  0.500  0.500
Pt  0.000  0.000  0.500
Pt  0.000  0.500  0.000
Pt  0.500  0.000  0.000

## Properties
Magnetization in μB/f.u.: 0.0
Theoretical density in kg/m³: 12168
Formation enthalpy at 0 K in eV per atom: 0.5464

=====

A plane-wave DFT calculation with PBE was carried out for ScHg2Pt2 after structural relaxation.

Lattice parameters (Å, degrees): 7.588 7.588 3.405 90.00 90.00 90.00
Fractional coordinates of all 10 atoms:
Sc  0.000  0.000  0.000
Sc  0.500  0.500  0.000
Hg  0.130  0.370  0.000
Hg  0.370  0.870  0.000
Hg  0.630  0.130  0.000
Hg  0.870  0.630  0.000
Pt  0.174  0.674  0.500
Pt  0.326  0.174  0.500
Pt  0.674  0.826  0.500
Pt  0.826  0.326  0.500

## Properties
Magnetization in μB/f.u.: 0.0
Theoretical density in kg/m³: 14164
Formation enthalpy at 0 K in eV per atom: -0.1961

=====

A plane-wave DFT calculation with PBE was carried out for Sc6HgPt5 after structural relaxation.

Lattice parameters (Å, degrees): 4.720 6.657 7.451 90.00 108.08 90.00
Fractional coordinates of all 12 atoms:
Sc  0.000  0.240  0.000
Sc  0.000  0.760  0.000
Sc  0.327  0.245  0.658
Sc  0.327  0.755  0.658
Sc  0.673  0.245  0.342
Sc  0.673  0.755  0.342
Hg  0.500  0.500  0.000
Pt  0.168  0.000  0.329
Pt  0.171  0.500  0.334
Pt  0.500  0.000  0.000
Pt  0.829  0.500  0.666
Pt  0.832  0.000  0.671

## Properties
Magnetization in μB/f.u.: 0.0
Theoretical density in kg/m³: 10788
Formation enthalpy at 0 K in eV per atom: -1.0900

=====

Calculated energy in order - -5.150, -6.629, -5.081, -4.974, -5.779, -5.678, -5.389, -5.291, -3.482, -4.405, -3.999, -6.798 eV per atom